Here is a geometry-optimized AcGdSiAg structure from Alexandria. Energies are from PBE.

Total DFT energy (no corrections) (eV/atom): -6.97
N(E_F) (states/eV/cell): 4.017

a b c (Å): 5.325 5.325 5.325
angles (deg): 60.00 60.00 60.00
Each line ends with the local moment (μB).
Fractional coordinates of all 4 atoms:
Ac 0.500 0.500 0.500  0.12
Gd 0.000 0.000 0.000  7.21
Ag 0.250 0.250 0.250  0.03
Si 0.750 0.750 0.750  -0.06